# 1
An optimized crystal structure of Li4GeS4, computed with GGA-PBE.

Geometry as POSCAR:
```
Li4GeS4
1.0
6.420 0.000 0.000
0.000 7.912 0.000
0.000 0.000 13.419
Li Ge S
16 4 16
Direct
0.845 0.004 0.653 Li
0.656 0.506 0.153 Li
0.155 0.504 0.347 Li
0.344 0.006 0.847 Li
0.156 0.006 0.347 Li
0.345 0.504 0.847 Li
0.844 0.506 0.653 Li
0.655 0.004 0.153 Li
0.656 0.755 0.931 Li
0.844 0.755 0.431 Li
0.344 0.255 0.069 Li
0.156 0.255 0.569 Li
0.527 0.255 0.714 Li
0.473 0.755 0.286 Li
0.027 0.755 0.786 Li
0.973 0.255 0.214 Li
0.851 0.255 0.909 Ge
0.649 0.255 0.409 Ge
0.149 0.755 0.091 Ge
0.351 0.755 0.591 Ge
0.724 0.482 0.826 S
0.776 0.029 0.326 S
0.276 0.982 0.174 S
0.224 0.529 0.674 S
0.276 0.529 0.174 S
0.224 0.982 0.674 S
0.724 0.029 0.826 S
0.776 0.482 0.326 S
0.696 0.755 0.593 S
0.804 0.755 0.093 S
0.304 0.255 0.407 S
0.196 0.255 0.907 S
0.767 0.255 0.566 S
0.733 0.255 0.066 S
0.233 0.755 0.434 S
0.267 0.755 0.934 S
```

Output
Relative energy among the computed polymorphs, kJ/mol of formula units: 21
Total magnetization, μB per formula unit: 0.00
Formation energy (no corrections), meV per atom: -1037


# 2
An optimized crystal structure of Ca3TlW, computed with GGA-PBE.

Geometry as POSCAR:
```
Ca3TlW
1.0
-0.958 -3.132 -4.505
-1.719 -4.171 3.266
-5.211 1.952 -0.250
Tl Ca W
1 3 1
Direct
0.500 0.500 0.500 Tl
0.000 0.500 0.000 Ca
0.000 0.000 0.500 Ca
0.500 0.000 0.000 Ca
0.000 0.000 0.000 W
```

Output
Formation energy, eV per atom: 0.88
Relative energy among the computed polymorphs, kJ/mol of formula units: 0
Total magnetization, μB per formula unit: 0.88


# 3
An optimized crystal structure of SrCr2Hg, computed with GGA-PBE.

Geometry as POSCAR:
```
SrCr2Hg
1.0
5.179 0.000 0.000
2.590 4.485 0.000
2.590 1.495 4.229
Cr Hg Sr
2 1 1
Direct
0.000 0.000 0.000 Cr
0.250 0.250 0.250 Cr
0.500 0.500 0.500 Hg
0.750 0.750 0.750 Sr
```

Output
Formation energy, eV per atom: 0.69
Relative energy among the computed polymorphs, kJ/mol of formula units: 151
Total magnetization, μB per formula unit: 8.89


What is the relative energy among the computed polymorphs in the first record?
21 kJ/mol of formula units